First-principles (GGA-PBEsol) data for a relaxed BaCaCl2 crystal, as listed in Alexandria.

- offset from the most stable computed form (meV per atom) = 115
- space-group type = Immm
- formation energy (no corrections) (eV per atom) = -1.608
- N(E_F) (states/eV per cell) = 1.1
- energy (eV per atom) = -3.682

a b c (Å): 6.0397 6.0397 6.0397
angles (deg): 141.89 109.39 83.18
Closest atoms and distances in Å follow each position.
Atoms (fractional coordinates):
Ba1 0.0000 0.0000 0.0000  4 Cl 3.29
Ca1 0.5000 0.5000 0.0000  4 Cl 2.72
Cl1 0.2920 0.7920 0.5000  2 Ca 2.72
Cl2 0.7080 0.2080 0.5000  2 Ca 2.72


First-principles (GGA-PBEsol) data for a relaxed Te6MoW3S2 crystal, as listed in Alexandria.

- space-group type = P3m1
- formation energy (no corrections) (eV per atom) = -0.279
- N(E_F) (states/eV per cell) = 2.1
- energy (eV per atom) = -7.205

a b c (Å): 3.3933 3.3933 27.3547
angles (deg): 90.00 90.00 120.00
Closest atoms and distances in Å follow each position.
Atoms (fractional coordinates):
Te1 0.0000 0.0000 0.0000  3 Mo 2.69
Te2 0.0000 0.0000 0.1350  3 Mo 2.69
Te3 0.3333 0.6667 0.2584  3 W 2.70
Te4 0.3333 0.6667 0.3944  3 W 2.70
Te5 0.3333 0.6667 0.7403  3 W 2.70
Te6 0.3333 0.6667 0.8762  3 W 2.70
Mo1 0.3333 0.6667 0.0675  6 Te 2.69
W1 0.0000 0.0000 0.3264  6 Te 2.70
W2 0.0000 0.0000 0.8082  6 Te 2.70
W3 0.3333 0.6667 0.5673  6 S 2.46
S1 0.0000 0.0000 0.5129  3 W 2.46
S2 0.0000 0.0000 0.6217  3 W 2.46


First-principles (GGA-PBEsol) data for a relaxed SmTe crystal, as listed in Alexandria.

- space-group type = Fm-3m
- formation energy (no corrections) (eV per atom) = -1.420
- N(E_F) (states/eV per cell) = 1.1
- energy (eV per atom) = -5.729

a b c (Å): 4.3720 4.3720 4.3720
angles (deg): 60.00 60.00 60.00
Closest atoms and distances in Å follow each position.
Atoms (fractional coordinates):
Sm1 0.0000 0.0000 0.0000  6 Te 3.09
Te1 0.5000 0.5000 0.5000  6 Sm 3.09


First-principles (GGA-PBEsol) data for a relaxed PtIF3 crystal, as listed in Alexandria.

- space-group type = Pm-3m
- formation energy (no corrections) (eV per atom) = -0.466
- N(E_F) (states/eV per cell) = 4.1
- energy (eV per atom) = -3.368

a b c (Å): 4.2794 4.2794 4.2794
angles (deg): 90.00 90.00 90.00
Closest atoms and distances in Å follow each position.
Atoms (fractional coordinates):
Pt1 0.0000 0.0000 0.0000  6 F 2.14
I1 0.5000 0.5000 0.5000  12 F 3.03
F1 0.0000 0.0000 0.5000  2 Pt 2.14
F2 0.0000 0.5000 0.0000  2 Pt 2.14
F3 0.5000 0.0000 0.0000  2 Pt 2.14


First-principles (GGA-PBEsol) data for a relaxed YBe2Ni crystal, as listed in Alexandria.

- calculated formation energy (meV/atom) = -44.8
- offset from the most stable computed form (meV per atom) = 215
- space-group type = P4/mmm
- N(E_F) (states/eV per cell) = 2.4
- energy (eV per atom) = -5.290

a b c (Å): 2.8935 2.8935 6.2814
angles (deg): 90.00 90.00 90.00
Closest atoms and distances in Å follow each position.
Atoms (fractional coordinates):
Y1 0.0000 0.0000 0.0000  4 Y 2.89, 8 Be 2.92, 2 Ni 3.14
Be1 0.5000 0.5000 0.3323  1 Be 2.11, 4 Ni 2.30
Be2 0.5000 0.5000 0.6677  1 Be 2.11, 4 Ni 2.30
Ni1 0.0000 0.0000 0.5000  8 Be 2.30


First-principles (GGA-PBEsol) data for a relaxed K2RbPtRh crystal, as listed in Alexandria.

- calculated formation energy (meV/atom) = 1033.9
- space-group type = P4/mmm
- N(E_F) (states/eV per cell) = 11.7
- energy (eV per atom) = -2.645

a b c (Å): 5.4662 5.4662 5.2420
angles (deg): 90.00 90.00 90.00
Closest atoms and distances in Å follow each position.
Atoms (fractional coordinates):
K1 0.0000 0.5000 0.0000  2 Rh 2.73
K2 0.5000 0.0000 0.0000  2 Rh 2.73
Rb1 0.0000 0.0000 0.5000  2 Rh 2.62
Pt1 0.5000 0.5000 0.5000  8 K 3.79, 4 Rb 3.87
Rh1 0.0000 0.0000 0.0000  2 Rb 2.62, 4 K 2.73


First-principles (GGA-PBEsol) data for a relaxed Nb3NiSb crystal, as listed in Alexandria.

- space-group type = Pm-3m
- formation energy (no corrections) (eV per atom) = 1.949
- N(E_F) (states/eV per cell) = 7.5
- energy (eV per atom) = -6.686

a b c (Å): 4.9438 4.9438 4.9438
angles (deg): 90.00 90.00 90.00
Closest atoms and distances in Å follow each position.
Atoms (fractional coordinates):
Nb1 0.0000 0.0000 0.5000  2 Sb 2.47
Nb2 0.0000 0.5000 0.0000  2 Sb 2.47
Nb3 0.5000 0.0000 0.0000  2 Sb 2.47
Ni1 0.5000 0.5000 0.5000  12 Nb 3.50
Sb1 0.0000 0.0000 0.0000  6 Nb 2.47


First-principles (GGA-PBEsol) data for a relaxed K2Au crystal, as listed in Alexandria.

- calculated formation energy (meV/atom) = -71.2
- space-group type = Cmc2_1
- N(E_F) (states/eV per cell) = 3.2
- energy (eV per atom) = -2.135

a b c (Å): 7.8471 7.8471 7.8502
angles (deg): 90.00 90.00 149.81
Closest atoms and distances in Å follow each position.
Atoms (fractional coordinates):
K1 0.0147 0.9853 0.5000  4 Au 3.32-3.35
K2 0.2710 0.7290 0.6473  3 Au 3.30-3.38
K3 0.7290 0.2710 0.1473  3 Au 3.30-3.38
K4 0.9853 0.0147 0.0000  4 Au 3.32-3.35
Au1 0.3860 0.6140 0.2784  7 K 3.30-3.38
Au2 0.6140 0.3860 0.7784  7 K 3.30-3.38


First-principles (GGA-PBEsol) data for a relaxed LiAs2Cl crystal, as listed in Alexandria.

- offset from the most stable computed form (meV per atom) = 233
- space-group type = P2/m
- formation energy (no corrections) (eV per atom) = -0.558
- N(E_F) (states/eV per cell) = 1.2
- energy (eV per atom) = -4.105

a b c (Å): 3.5768 6.0556 3.8921
angles (deg): 90.00 91.52 90.00
Closest atoms and distances in Å follow each position.
Atoms (fractional coordinates):
Li1 0.0000 0.0000 0.0000  4 Cl 2.61-2.68
As1 0.2337 0.5000 0.7976  2 As 2.33-2.44
As2 0.7663 0.5000 0.2024  2 As 2.33-2.44
Cl1 0.5000 0.0000 0.5000  4 Li 2.61-2.68


First-principles (GGA-PBEsol) data for a relaxed RbAg3I crystal, as listed in Alexandria.

- space-group type = Pm-3m
- formation energy (no corrections) (eV per atom) = 1.221
- N(E_F) (states/eV per cell) = 5.7
- energy (eV per atom) = -1.325

a b c (Å): 5.6878 5.6878 5.6878
angles (deg): 90.00 90.00 90.00
Closest atoms and distances in Å follow each position.
Atoms (fractional coordinates):
Rb1 0.0000 0.0000 0.0000  6 Ag 2.84
Ag1 0.0000 0.0000 0.5000  2 Rb 2.84
Ag2 0.0000 0.5000 0.0000  2 Rb 2.84
Ag3 0.5000 0.0000 0.0000  2 Rb 2.84
I1 0.5000 0.5000 0.5000  12 Ag 4.02


First-principles (GGA-PBEsol) data for a relaxed KTe2Rh crystal, as listed in Alexandria.

- space-group type = R-3m
- formation energy (no corrections) (eV per atom) = -0.609
- energy (eV per atom) = -4.690

a b c (Å): 7.9102 7.9102 7.9102
angles (deg): 29.91 29.91 29.91
Closest atoms and distances in Å follow each position.
Atoms (fractional coordinates):
K1 0.0000 0.0000 0.0000  6 Te 3.45
Te1 0.2222 0.2222 0.2222  3 Rh 2.67
Te2 0.7778 0.7778 0.7778  3 Rh 2.67
Rh1 0.5000 0.5000 0.5000  6 Te 2.67


First-principles (GGA-PBEsol) data for a relaxed CoP2H18N6F12 crystal, as listed in Alexandria.

- space-group type = P1
- energy (eV per atom) = -5.220

a b c (Å): 8.2109 8.2233 8.2486
angles (deg): 90.87 119.51 119.37
Closest atoms and distances in Å follow each position.
Atoms (fractional coordinates):
Co1 0.0000 0.0000 0.0000  4 N 1.97
P1 0.4948 0.2477 0.7424  6 F 1.62-1.63
P2 0.5019 0.7530 0.2557  6 F 1.63-1.64
H1 0.0213 0.1577 0.3248  1 N 1.03
H2 0.0634 0.3102 0.9119  1 N 1.03
H3 0.0859 0.1820 0.7779  1 N 1.03
H4 0.1143 0.3382 0.2409  1 N 1.03
H5 0.1672 0.8882 0.2914  1 N 1.03
H6 0.1697 0.8498 0.8577  1 N 1.03
H7 0.4004 0.2651 0.2993  1 N 1.03
H8 0.4012 0.2634 0.0997  1 N 1.03
H9 0.4045 0.0926 0.1987  1 N 1.03
H10 0.5936 0.9046 0.7895  1 N 1.03
H11 0.5995 0.7454 0.9056  1 N 1.03
H12 0.6003 0.7249 0.7068  1 N 1.03
H13 0.8326 0.1170 0.7131  1 N 1.03
H14 0.8381 0.1724 0.1262  1 N 1.03
H15 0.9073 0.8119 0.2162  1 N 1.03
H16 0.9131 0.6626 0.7837  1 N 1.03
H17 0.9428 0.8206 0.6625  1 N 1.03
H18 0.9457 0.6926 0.0912  1 N 1.03
N1 0.0069 0.8319 0.1670  3 H 1.03
N2 0.0077 0.8101 0.8016  3 H 1.03
N3 0.3354 0.1733 0.1666  3 H 1.03
N4 0.6646 0.8259 0.8332  3 H 1.03
N5 0.9923 0.1900 0.1976  3 H 1.03
N6 0.9936 0.1686 0.8334  3 H 1.03
F1 0.2217 0.0830 0.5887  1 P 1.62
F2 0.2288 0.5889 0.0944  1 P 1.63
F3 0.4509 0.3418 0.8799  1 P 1.63
F4 0.4510 0.8404 0.3899  1 P 1.63
F5 0.4781 0.3971 0.6185  1 P 1.62
F6 0.4899 0.9071 0.1358  1 P 1.63
F7 0.5125 0.0979 0.8673  1 P 1.63
F8 0.5141 0.5990 0.3748  1 P 1.63
F9 0.5400 0.1544 0.6062  1 P 1.63
F10 0.5526 0.6644 0.1207  1 P 1.64
F11 0.7692 0.4125 0.8981  1 P 1.63
F12 0.7748 0.9165 0.4152  1 P 1.63